[1]
Density functional theory data (GGA-PBE) for a geometry-optimized ZnPS3 structure.

```
5
Lattice="-3.0190 0.3342 3.3255 -1.3089 -4.2416 -0.7620 3.0753 -1.4772 2.9404" Properties=species:S:1:pos:R:3 pbc="T T T"
Zn -0.6263 -2.6923 2.7519
S 1.5376 -0.7386 1.4702
S -0.6544 -2.1208 -0.3810
S -1.5095 0.1671 1.6627
P 0.0000 0.0000 0.0000
```

The energy relative to the elements, uncorrected is 0.447 eV per atom. Its space group is No. 221. The calculated volume is 18.3 Å³ per atom. As for the size of the total moment: 0.000 μB/atom.



[2]
Density functional theory data (GGA-PBE) for a geometry-optimized Zn2P3S9 structure.

```
28
Lattice="10.8792 0.0248 0.0182 5.5024 9.3851 0.0182 0.5581 0.3206 7.1640" Properties=species:S:1:pos:R:3 pbc="T T T"
P 10.4808 6.0204 2.2669
P 16.2004 9.3058 2.6249
P 0.7394 0.4247 4.5755
P 12.2078 7.0124 4.3993
P 6.4590 3.7102 4.9335
P 4.7319 2.7181 2.8011
S 15.6933 9.0145 5.8850
S 8.9488 6.9822 1.3945
S 8.0041 8.8332 4.7395
S 3.3453 3.9071 1.9680
S 10.5398 4.2125 1.3945
S 1.2465 0.7160 1.3154
S 5.2769 7.2667 2.4609
S 11.6628 2.4639 4.7395
S 5.0604 0.9213 1.9680
S 10.3667 5.9549 4.4069
S 8.9356 0.8973 2.4609
S 6.5730 3.7757 2.7935
S 12.3255 7.0800 2.2506
S 4.6142 2.6505 4.9498
S 7.9909 2.7484 5.8059
S 13.5944 5.8235 5.2324
S 11.8794 8.8092 5.2324
S 6.4000 5.5181 5.8059
Zn 8.6376 9.0563 2.4758
Zn 8.3021 0.6742 4.7246
Zn 4.7650 6.8318 4.7246
Zn 12.1747 2.8987 2.4758
```

The energy relative to the elements, uncorrected is -0.358 eV per atom. Its space group is No. 12. The calculated volume is 26.1 Å³ per atom. As for the size of the total moment: 0.000 μB/atom.



[3]
Density functional theory data (GGA-PBE) for a geometry-optimized ZnP3S structure.

```
5
Lattice="4.5956 0.0000 0.0000 0.0000 4.5956 0.0000 0.0000 0.0000 4.5956" Properties=species:S:1:pos:R:3 pbc="T T T"
S 2.2978 2.2978 2.2978
P 0.0000 2.2978 0.0000
P 2.2978 0.0000 0.0000
P 0.0000 0.0000 2.2978
Zn 0.0000 0.0000 0.0000
```

The energy relative to the elements, uncorrected is 1.239 eV per atom. Its space group is No. 221. The calculated volume is 19.4 Å³ per atom. As for the size of the total moment: 0.000 μB/atom.